Run 1
Material: Ga2Ag3
Method: DFT, PBE
State: relaxed

Summary:
- V (Å³/cell) = 364
- size of the total moment (Bohr magnetons per cell) = 0.00

Unit cell a=11.344 b=3.024 c=10.623 alpha=90.00 beta=90.00 gamma=90.00
Atoms (fractional coordinates):
Ga: 0.082 0.250 0.187
Ga: 0.208 0.250 0.482
Ga: 0.292 0.750 0.982
Ga: 0.418 0.750 0.687
Ga: 0.582 0.250 0.313
Ga: 0.708 0.250 0.018
Ga: 0.792 0.750 0.518
Ga: 0.918 0.750 0.813
Ag: 0.011 0.750 0.386
Ag: 0.093 0.250 0.930
Ag: 0.187 0.750 0.716
Ag: 0.313 0.250 0.216
Ag: 0.407 0.750 0.430
Ag: 0.489 0.250 0.886
Ag: 0.511 0.750 0.114
Ag: 0.593 0.250 0.570
Ag: 0.687 0.750 0.784
Ag: 0.813 0.250 0.284
Ag: 0.907 0.750 0.070
Ag: 0.989 0.250 0.614



Run 2
Material: Ga2Ag3
Method: DFT, PBE
State: relaxed

Summary:
- V (Å³/cell) = 275
- size of the total moment (Bohr magnetons per cell) = 0.00

Unit cell a=7.165 b=7.165 c=7.165 alpha=62.66 beta=62.66 gamma=62.66
Atoms (fractional coordinates):
Ga: 0.119 0.626 0.418
Ga: 0.374 0.582 0.881
Ga: 0.418 0.119 0.626
Ga: 0.582 0.881 0.374
Ga: 0.626 0.418 0.119
Ga: 0.881 0.374 0.582
Ag: 0.084 0.341 0.885
Ag: 0.115 0.916 0.659
Ag: 0.248 0.248 0.248
Ag: 0.341 0.885 0.084
Ag: 0.500 0.500 0.500
Ag: 0.659 0.115 0.916
Ag: 0.752 0.752 0.752
Ag: 0.885 0.084 0.341
Ag: 0.916 0.659 0.115



Energies relative to the most stable structure are run 1 0.000; run 2 0.011, reported in eV/atom.



Run 1
Material: Ga8Ag
Method: DFT, PBE
State: relaxed

Summary:
- V (Å³/cell) = 169
- size of the total moment (Bohr magnetons per cell) = 0.00

Unit cell a=7.385 b=7.385 c=7.385 alpha=92.80 beta=92.80 gamma=154.46
Atoms (fractional coordinates):
Ga: 0.000 0.333 0.333
Ga: 0.000 0.667 0.667
Ga: 0.333 0.000 0.333
Ga: 0.333 0.333 0.667
Ga: 0.333 0.667 0.000
Ga: 0.667 0.000 0.667
Ga: 0.667 0.333 0.000
Ga: 0.667 0.667 0.333
Ag: 0.000 0.000 0.000



Run 2
Material: Ga8Ag
Method: DFT, PBE
State: relaxed

Summary:
- V (Å³/cell) = 167
- size of the total moment (Bohr magnetons per cell) = 0.00

Unit cell a=6.716 b=6.716 c=6.716 alpha=95.30 beta=95.30 gamma=144.61
Atoms (fractional coordinates):
Ga: 0.000 0.331 0.331
Ga: 0.000 0.669 0.669
Ga: 0.331 0.000 0.331
Ga: 0.336 0.336 0.671
Ga: 0.336 0.664 0.000
Ga: 0.664 0.336 0.000
Ga: 0.664 0.664 0.329
Ga: 0.669 0.000 0.669
Ag: 0.000 0.000 0.000



Energies relative to the most stable structure are run 1 0.015; run 2 0.000, reported in eV/atom.



Run 1
Material: Ga3Ag5
Method: DFT, PBE
State: relaxed

Summary:
- V (Å³/cell) = 142
- size of the total moment (Bohr magnetons per cell) = 0.00

Unit cell a=7.019 b=7.019 c=7.019 alpha=141.30 beta=138.36 gamma=58.14
Atoms (fractional coordinates):
Ga: 0.000 0.000 0.000
Ga: 0.371 0.871 0.500
Ga: 0.629 0.129 0.500
Ag: 0.120 0.620 0.500
Ag: 0.256 0.256 0.000
Ag: 0.500 0.500 0.000
Ag: 0.744 0.744 0.000
Ag: 0.880 0.380 0.500



Run 2
Material: Ga3Ag5
Method: DFT, PBE
State: relaxed

Summary:
- V (Å³/cell) = 141
- size of the total moment (Bohr magnetons per cell) = 0.00

Unit cell a=2.984 b=5.941 c=7.977 alpha=90.00 beta=90.00 gamma=90.00
Atoms (fractional coordinates):
Ga: 0.000 0.000 0.000
Ga: 0.500 0.238 0.257
Ga: 0.500 0.762 0.257
Ag: 0.000 0.000 0.507
Ag: 0.000 0.500 0.025
Ag: 0.000 0.500 0.500
Ag: 0.500 0.253 0.763
Ag: 0.500 0.747 0.763



Energies relative to the most stable structure are run 1 0.007; run 2 0.000, reported in eV/atom.



Run 1
Material: Ga5Ag4
Method: DFT, PBE
State: relaxed

Summary:
- V (Å³/cell) = 334
- size of the total moment (Bohr magnetons per cell) = 0.00

Unit cell a=8.123 b=8.123 c=5.852 alpha=90.00 beta=90.00 gamma=120.00
Atoms (fractional coordinates):
Ga: 0.000 0.342 0.250
Ga: 0.000 0.658 0.750
Ga: 0.333 0.667 0.000
Ga: 0.333 0.667 0.500
Ga: 0.342 0.000 0.250
Ga: 0.342 0.342 0.750
Ga: 0.658 0.000 0.750
Ga: 0.658 0.658 0.250
Ga: 0.667 0.333 0.000
Ga: 0.667 0.333 0.500
Ag: 0.000 0.000 0.000
Ag: 0.000 0.000 0.500
Ag: 0.000 0.324 0.750
Ag: 0.000 0.676 0.250
Ag: 0.324 0.000 0.750
Ag: 0.324 0.324 0.250
Ag: 0.676 0.000 0.250
Ag: 0.676 0.676 0.750



Run 2
Material: Ga5Ag4
Method: DFT, PBE
State: relaxed

Summary:
- V (Å³/cell) = 223
- size of the total moment (Bohr magnetons per cell) = 0.00

Unit cell a=9.022 b=9.022 c=9.022 alpha=91.39 beta=91.39 gamma=162.06
Atoms (fractional coordinates):
Ga: 0.000 0.000 0.000
Ga: 0.315 0.315 0.629
Ga: 0.315 0.685 0.000
Ga: 0.685 0.315 0.000
Ga: 0.685 0.685 0.371
Ag: 0.000 0.223 0.223
Ag: 0.000 0.777 0.777
Ag: 0.223 0.000 0.223
Ag: 0.777 0.000 0.777



Energies relative to the most stable structure are run 1 0.000; run 2 0.094, reported in eV/atom.



Run 1
Material: Ga3Ag8
Method: DFT, PBE
State: relaxed

Summary:
- V (Å³/cell) = 221
- size of the total moment (Bohr magnetons per cell) = 0.00

Unit cell a=6.057 b=6.057 c=6.057 alpha=92.85 beta=92.85 gamma=92.85
Atoms (fractional coordinates):
Ga: 0.000 0.500 0.500
Ga: 0.500 0.000 0.500
Ga: 0.500 0.500 0.000
Ag: 0.086 0.896 0.686
Ag: 0.104 0.314 0.914
Ag: 0.314 0.914 0.104
Ag: 0.359 0.359 0.359
Ag: 0.641 0.641 0.641
Ag: 0.686 0.086 0.896
Ag: 0.896 0.686 0.086
Ag: 0.914 0.104 0.314



Run 2
Material: Ga3Ag8
Method: DFT, PBE
State: relaxed

Summary:
- V (Å³/cell) = 192
- size of the total moment (Bohr magnetons per cell) = 0.00

Unit cell a=5.426 b=5.426 c=11.938 alpha=104.51 beta=104.51 gamma=34.46
Atoms (fractional coordinates):
Ga: 0.000 0.000 0.000
Ga: 0.088 0.088 0.651
Ga: 0.912 0.912 0.349
Ag: 0.188 0.188 0.286
Ag: 0.285 0.285 0.910
Ag: 0.372 0.372 0.531
Ag: 0.455 0.455 0.174
Ag: 0.545 0.545 0.826
Ag: 0.628 0.628 0.469
Ag: 0.715 0.715 0.090
Ag: 0.812 0.812 0.714



Energies relative to the most stable structure are run 1 0.218; run 2 0.000, reported in eV/atom.



Run 1
Material: GaAgGe3
Method: DFT, PBE
State: relaxed

Summary:
- V (Å³/cell) = 120
- size of the total moment (Bohr magnetons per cell) = 0.00

Unit cell a=4.933 b=4.933 c=4.933 alpha=90.00 beta=90.00 gamma=90.00
Atoms (fractional coordinates):
Ga: 0.000 0.000 0.000
Ag: 0.500 0.500 0.500
Ge: 0.000 0.000 0.500
Ge: 0.000 0.500 0.000
Ge: 0.500 0.000 0.000



Run 2
Material: GaAgGe3
Method: DFT, PBE
State: relaxed

Summary:
- V (Å³/cell) = 127
- size of the total moment (Bohr magnetons per cell) = 0.00

Unit cell a=5.026 b=5.026 c=5.026 alpha=90.00 beta=90.00 gamma=90.00
Atoms (fractional coordinates):
Ga: 0.000 0.000 0.000
Ag: 0.500 0.500 0.500
Ge: 0.000 0.500 0.500
Ge: 0.500 0.000 0.500
Ge: 0.500 0.500 0.000



Energies relative to the most stable structure are run 1 0.000; run 2 0.027, reported in eV/atom.



Run 1
Material: Ga2AgH
Method: DFT, PBE
State: relaxed

Summary:
- V (Å³/cell) = 63
- size of the total moment (Bohr magnetons per cell) = 0.00

Unit cell a=4.465 b=4.465 c=4.465 alpha=60.00 beta=60.00 gamma=60.00
Atoms (fractional coordinates):
Ga: 0.250 0.250 0.250
Ga: 0.750 0.750 0.750
Ag: 0.000 0.000 0.000
H: 0.500 0.500 0.500



Run 2
Material: Ga2AgH
Method: DFT, PBE
State: relaxed

Summary:
- V (Å³/cell) = 61
- size of the total moment (Bohr magnetons per cell) = 0.00

Unit cell a=8.319 b=8.319 c=8.319 alpha=20.31 beta=20.31 gamma=20.31
Atoms (fractional coordinates):
Ga: 0.073 0.073 0.073
Ga: 0.927 0.927 0.927
Ag: 0.500 0.500 0.500
H: 0.000 0.000 0.000



Run 3
Material: Ga2AgH
Method: DFT, PBE
State: relaxed

Summary:
- V (Å³/cell) = 136
- size of the total moment (Bohr magnetons per cell) = 0.00

Unit cell a=7.039 b=7.039 c=7.039 alpha=141.16 beta=141.16 gamma=56.10
Atoms (fractional coordinates):
Ga: 0.375 0.246 0.371
Ga: 0.754 0.125 0.129
Ga: 0.875 0.004 0.629
Ga: 0.996 0.625 0.871
Ag: 0.250 0.750 0.500
Ag: 0.500 0.500 0.000
H: 0.000 0.000 0.000
H: 0.750 0.250 0.500



Energies relative to the most stable structure are run 1 0.236; run 2 0.000; run 3 0.123, reported in eV/atom.



Run 1
Material: Ga3AgH
Method: DFT, PBE
State: relaxed

Summary:
- V (Å³/cell) = 126
- size of the total moment (Bohr magnetons per cell) = 0.00

Unit cell a=5.013 b=5.013 c=5.013 alpha=90.00 beta=90.00 gamma=90.00
Atoms (fractional coordinates):
Ga: 0.000 0.000 0.500
Ga: 0.000 0.500 0.000
Ga: 0.500 0.000 0.000
Ag: 0.000 0.000 0.000
H: 0.500 0.500 0.500



Run 2
Material: Ga3AgH
Method: DFT, PBE
State: relaxed

Summary:
- V (Å³/cell) = 79
- size of the total moment (Bohr magnetons per cell) = 0.00

Unit cell a=4.287 b=4.287 c=4.287 alpha=90.00 beta=90.00 gamma=90.00
Atoms (fractional coordinates):
Ga: 0.000 0.000 0.500
Ga: 0.000 0.500 0.000
Ga: 0.500 0.000 0.000
Ag: 0.500 0.500 0.500
H: 0.000 0.000 0.000



Energies relative to the most stable structure are run 1 0.448; run 2 0.000, reported in eV/atom.



Run 1
Material: GaAgHIr
Method: DFT, PBE
State: relaxed

Summary:
- V (Å³/cell) = 55
- size of the total moment (Bohr magnetons per cell) = 0.00

Unit cell a=2.859 b=4.029 c=5.345 alpha=67.98 beta=74.62 gamma=89.94
Atoms (fractional coordinates):
Ga: 0.000 0.000 0.000
Ag: 0.793 0.296 0.407
H: 0.186 0.689 0.623
Ir: 0.574 0.575 0.850



Run 2
Material: GaAgHIr
Method: DFT, PBE
State: relaxed

Summary:
- V (Å³/cell) = 54
- size of the total moment (Bohr magnetons per cell) = 0.00

Unit cell a=2.927 b=2.927 c=7.126 alpha=90.54 beta=90.54 gamma=61.34
Atoms (fractional coordinates):
Ga: 0.000 0.000 0.000
Ag: 0.335 0.335 0.690
H: 0.649 0.649 0.272
Ir: 0.992 0.992 0.356



Energies relative to the most stable structure are run 1 0.000; run 2 0.198, reported in eV/atom.



Run 1
Material: GaAgHIr
Method: DFT, PBE
State: relaxed

Summary:
- V (Å³/cell) = 58
- size of the total moment (Bohr magnetons per cell) = 0.00

Unit cell a=4.234 b=2.816 c=5.052 alpha=90.00 beta=104.30 gamma=90.00
Atoms (fractional coordinates):
Ga: 0.000 0.000 0.000
Ag: 0.391 0.000 0.571
H: 0.689 0.000 0.300
Ir: 0.520 0.500 0.085



Run 2
Material: GaAgHIr
Method: DFT, PBE
State: relaxed

Summary:
- V (Å³/cell) = 59
- size of the total moment (Bohr magnetons per cell) = 0.00

Unit cell a=2.909 b=4.153 c=4.911 alpha=97.60 beta=90.02 gamma=90.00
Atoms (fractional coordinates):
Ga: 0.000 0.000 0.000
Ag: 0.999 0.578 0.455
H: 0.498 0.285 0.645
Ir: 0.500 0.492 0.952



Energies relative to the most stable structure are run 1 0.043; run 2 0.000, reported in eV/atom.



Run 1
Material: Ga3Ag3Hg
Method: DFT, PBE
State: relaxed

Summary:
- V (Å³/cell) = 271
- size of the total moment (Bohr magnetons per cell) = 0.00

Unit cell a=5.949 b=7.027 c=7.116 alpha=66.36 beta=85.79 gamma=85.92
Atoms (fractional coordinates):
Ga: 0.016 0.059 0.293
Ga: 0.196 0.615 0.650
Ga: 0.310 0.742 0.250
Ga: 0.690 0.258 0.750
Ga: 0.804 0.385 0.350
Ga: 0.984 0.941 0.707
Ag: 0.134 0.201 0.885
Ag: 0.239 0.497 0.056
Ag: 0.476 0.883 0.851
Ag: 0.524 0.117 0.149
Ag: 0.761 0.503 0.944
Ag: 0.866 0.799 0.115
Hg: 0.341 0.254 0.480
Hg: 0.659 0.746 0.520



Run 2
Material: Ga3Ag3Hg
Method: DFT, PBE
State: relaxed

Summary:
- V (Å³/cell) = 389
- size of the total moment (Bohr magnetons per cell) = 0.00

Unit cell a=7.301 b=7.301 c=7.301 alpha=90.00 beta=90.00 gamma=90.00
Atoms (fractional coordinates):
Ga: 0.000 0.250 0.500
Ga: 0.000 0.750 0.500
Ga: 0.250 0.500 0.000
Ga: 0.500 0.000 0.250
Ga: 0.500 0.000 0.750
Ga: 0.750 0.500 0.000
Ag: 0.000 0.500 0.250
Ag: 0.000 0.500 0.750
Ag: 0.250 0.000 0.500
Ag: 0.500 0.250 0.000
Ag: 0.500 0.750 0.000
Ag: 0.750 0.000 0.500
Hg: 0.000 0.000 0.000
Hg: 0.500 0.500 0.500



Energies relative to the most stable structure are run 1 0.000; run 2 0.336, reported in eV/atom.